Compound: V2CdBiO6
Source: Alexandria
Functional: PBE with a Hubbard U
Structure: relaxed

The density of states at the Fermi level comes out at 2.973 states/eV per cell. For the total energy, the calculation gives -6.47 eV per atom.

Cell lengths 6.205, 7.548, 7.548 Å; angles 80.55, 73.45, 73.45 degrees
Last column: magnetic moment on the atom in μB.
Atoms (fractional coordinates):
V (0.274, 0.792, 0.617)  1.52
V (0.226, 0.383, 0.208)  1.52
V (0.726, 0.208, 0.383)  1.52
V (0.774, 0.617, 0.792)  1.52
Cd (0.250, 0.290, 0.710)  0.03
Cd (0.750, 0.710, 0.290)  0.03
Bi (0.250, 0.894, 0.106)  0.03
Bi (0.750, 0.106, 0.894)  0.03
O (0.149, 0.995, 0.751)  -0.05
O (0.351, 0.249, 0.005)  -0.05
O (0.851, 0.005, 0.249)  -0.05
O (0.649, 0.751, 0.995)  -0.05
O (0.362, 0.854, 0.358)  -0.02
O (0.138, 0.642, 0.146)  -0.02
O (0.638, 0.146, 0.642)  -0.02
O (0.862, 0.358, 0.854)  -0.02
O (0.089, 0.625, 0.677)  -0.07
O (0.411, 0.323, 0.375)  -0.07
O (0.911, 0.375, 0.323)  -0.07
O (0.589, 0.677, 0.625)  -0.07